(1)
HfTeHF2 | PBE | optimized geometry

Computed properties:
symmetry	P4/mmm (123)
crystal system	tetragonal
density of states at the Fermi level	4.14	states/eV per cell
size of the total moment	0.89	Bohr magnetons per cell
energy	-0.15051	Ha/atom

Unit cell a=4.923 b=3.565 c=4.923 alpha=90.00 beta=90.00 gamma=90.00
Each line ends with the local moment (μB).
Positions (direct):
H  0.000  0.500  0.000  0.00
Te  0.000  0.000  0.000  -0.09
Hf  0.500  0.500  0.500  0.67
F  0.000  0.000  0.500  -0.01
F  0.500  0.000  0.000  0.00


(2)
HfTl2HF6 | PBE | optimized geometry

Computed properties:
symmetry	C2/m (12)
crystal system	monoclinic
density of states at the Fermi level	0.00	states/eV per cell
size of the total moment	1.00	Bohr magnetons per cell
energy	-0.19657	Ha/atom

Unit cell a=6.444 b=6.447 c=6.473 alpha=59.96 beta=59.97 gamma=89.99
Each line ends with the local moment (μB).
Positions (direct):
Hf  0.000  0.000  0.000  0.01
Tl  0.751  0.249  0.500  0.00
Tl  0.249  0.751  0.500  0.00
H  0.500  0.500  0.000  0.38
F  0.220  0.220  0.561  0.01
F  0.780  0.780  0.000  0.01
F  0.220  0.780  0.000  0.01
F  0.780  0.220  0.000  0.01
F  0.220  0.220  0.000  0.01
F  0.780  0.780  0.439  0.01


(3)
HfZnHF2 | PBE | optimized geometry

Computed properties:
symmetry	P4/mmm (123)
crystal system	tetragonal
density of states at the Fermi level	2.52	states/eV per cell
size of the total moment	0.48	Bohr magnetons per cell
energy	-0.15658	Ha/atom

Unit cell a=4.366 b=3.165 c=4.366 alpha=90.00 beta=90.00 gamma=90.00
Each line ends with the local moment (μB).
Positions (direct):
H  0.000  0.000  0.000  0.00
Zn  0.000  0.500  0.000  0.02
Hf  0.500  0.500  0.500  0.29
F  0.000  0.000  0.500  0.02
F  0.500  0.000  0.000  0.01


(4)
HfZrHF2 | PBE | optimized geometry

Computed properties:
symmetry	P4/mmm (123)
crystal system	tetragonal
density of states at the Fermi level	5.02	states/eV per cell
size of the total moment	0.00	Bohr magnetons per cell
energy	-0.22002	Ha/atom

Unit cell a=4.451 b=3.667 c=4.451 alpha=90.00 beta=90.00 gamma=90.00
Positions (direct):
H  0.000  0.500  0.000
Hf  0.500  0.500  0.500
Zr  0.000  0.000  0.000
F  0.000  0.000  0.500
F  0.500  0.000  0.000


(5)
Hg2HF | PBE | optimized geometry

Computed properties:
symmetry	P2_1/m (11)
crystal system	monoclinic
offset from the most stable computed form	0.000	eV/atom
density of states at the Fermi level	0.00	states/eV per cell
size of the total moment	0.00	Bohr magnetons per cell
energy	-0.07026	Ha/atom

Unit cell a=5.925 b=5.566 c=5.894 alpha=90.00 beta=119.01 gamma=90.00
Positions (direct):
Hg  0.877  0.250  0.216
Hg  0.123  0.750  0.784
Hg  0.637  0.250  0.708
Hg  0.363  0.750  0.292
H  0.512  0.250  0.382
H  0.488  0.750  0.618
F  0.132  0.250  0.636
F  0.868  0.750  0.364


(6)
HgH2F5 | PBE | optimized geometry

Computed properties:
symmetry	P1 (1)
crystal system	triclinic
density of states at the Fermi level	0.03	states/eV per cell
size of the total moment	1.00	Bohr magnetons per cell
energy	-0.12297	Ha/atom

Unit cell a=5.950 b=5.176 c=5.407 alpha=95.78 beta=55.23 gamma=123.57
Each line ends with the local moment (μB).
Positions (direct):
Hg  0.926  0.047  0.963  0.30
H  0.428  0.048  0.959  0.00
H  0.636  0.422  0.344  0.00
F  0.276  0.149  0.058  0.15
F  0.586  0.946  0.861  0.16
F  0.837  0.331  0.247  0.10
F  0.496  0.510  0.427  0.02
F  0.038  0.771  0.695  0.22


(7)
HgHF3 | PBE | optimized geometry

Computed properties:
symmetry	Pm-3m (221)
crystal system	cubic
offset from the most stable computed form	1.018	eV/atom
density of states at the Fermi level	7.79	states/eV per cell
size of the total moment	0.77	Bohr magnetons per cell
energy	-0.08527	Ha/atom

Unit cell a=4.379 b=4.379 c=4.379 alpha=90.00 beta=90.00 gamma=90.00
Each line ends with the local moment (μB).
Positions (direct):
H  0.500  0.500  0.500  0.33
Hg  0.000  0.000  0.000  -0.01
F  0.000  0.500  0.000  0.00
F  0.000  0.000  0.500  0.00
F  0.500  0.000  0.000  0.00


(8)
HgH6F8 | PBE | optimized geometry

Computed properties:
symmetry	R-3 (148)
crystal system	trigonal
density of states at the Fermi level	0.00	states/eV per cell
size of the total moment	0.00	Bohr magnetons per cell
energy	-0.14409	Ha/atom

Unit cell a=6.317 b=6.317 c=6.317 alpha=63.78 beta=63.78 gamma=63.78
Positions (direct):
Hg  0.000  0.000  0.000
H  0.462  0.231  0.061
H  0.061  0.462  0.231
H  0.231  0.061  0.462
H  0.538  0.769  0.939
H  0.939  0.538  0.769
H  0.769  0.939  0.538
F  0.252  0.252  0.252
F  0.748  0.748  0.748
F  0.086  0.379  0.783
F  0.783  0.086  0.379
F  0.379  0.783  0.086
F  0.914  0.621  0.217
F  0.217  0.914  0.621
F  0.621  0.217  0.914


(9)
HgH2F | PBE | optimized geometry

Computed properties:
symmetry	I4_1/amd (141)
crystal system	tetragonal
offset from the most stable computed form	0.000	eV/atom
density of states at the Fermi level	1.73	states/eV per cell
size of the total moment	0.00	Bohr magnetons per cell
energy	-0.08282	Ha/atom

Unit cell a=3.691 b=3.691 c=7.155 alpha=75.05 beta=75.05 gamma=90.00
Positions (direct):
H  0.874  0.125  0.250
H  0.876  0.625  0.250
H  0.375  0.126  0.750
H  0.875  0.124  0.750
Hg  0.000  0.000  0.000
Hg  0.750  0.250  0.500
F  0.500  0.500  0.000
F  0.250  0.750  0.500


(10)
HgHF3 | PBE | optimized geometry

Computed properties:
symmetry	Ama2 (40)
crystal system	orthorhombic
offset from the most stable computed form	0.025	eV/atom
density of states at the Fermi level	0.00	states/eV per cell
size of the total moment	0.00	Bohr magnetons per cell
energy	-0.12175	Ha/atom

Unit cell a=4.805 b=3.807 c=7.557 alpha=104.59 beta=90.00 gamma=90.00
Positions (direct):
Hg  0.250  0.046  0.686
Hg  0.750  0.360  0.314
H  0.250  0.827  0.058
H  0.750  0.770  0.942
F  0.750  0.893  0.843
F  0.750  0.671  0.122
F  0.750  0.048  0.506
F  0.250  0.549  0.878
F  0.250  0.051  0.157
F  0.250  0.542  0.494


(11)
Hg2H2F | PBE | optimized geometry

Computed properties:
symmetry	P-1 (2)
crystal system	triclinic
density of states at the Fermi level	1.17	states/eV per cell
size of the total moment	0.00	Bohr magnetons per cell
energy	-0.07727	Ha/atom

Unit cell a=7.758 b=6.994 c=6.663 alpha=80.66 beta=81.60 gamma=28.06
Positions (direct):
Hg  0.502  0.542  0.719
Hg  0.498  0.458  0.281
Hg  0.502  0.042  0.719
Hg  0.498  0.958  0.281
H  0.997  0.950  0.298
H  0.998  0.450  0.298
H  0.002  0.550  0.702
H  0.003  0.050  0.702
F  0.499  0.251  0.000
F  0.501  0.749  0.000


(12)
Hg2HF | PBE | optimized geometry

Computed properties:
symmetry	I-42d (122)
crystal system	tetragonal
offset from the most stable computed form	0.206	eV/atom
density of states at the Fermi level	1.38	states/eV per cell
size of the total moment	0.00	Bohr magnetons per cell
energy	-0.06270	Ha/atom

Unit cell a=4.850 b=4.850 c=7.223 alpha=70.38 beta=70.38 gamma=90.00
Positions (direct):
H  0.500  0.500  0.000
H  0.250  0.750  0.500
Hg  0.545  0.125  0.250
Hg  0.205  0.625  0.250
Hg  0.375  0.455  0.750
Hg  0.875  0.795  0.750
F  0.000  0.000  0.000
F  0.750  0.250  0.500


(13)
HgH2F4 | PBE | optimized geometry

Computed properties:
symmetry	C2/m (12)
crystal system	monoclinic
offset from the most stable computed form	0.000	eV/atom
density of states at the Fermi level	0.00	states/eV per cell
size of the total moment	0.00	Bohr magnetons per cell
energy	-0.13201	Ha/atom

Unit cell a=4.552 b=3.895 c=5.551 alpha=81.58 beta=114.21 gamma=90.00
Positions (direct):
Hg  0.000  0.000  0.000
H  0.269  0.240  0.538
H  0.731  0.760  0.462
F  0.137  0.368  0.274
F  0.863  0.632  0.726
F  0.368  0.134  0.736
F  0.632  0.866  0.264


(14)
Hg3H8F2 | PBE | optimized geometry

Computed properties:
symmetry	C2/m (12)
crystal system	monoclinic
size of the total moment	0.00	Bohr magnetons per cell
energy	-0.09954	Ha/atom

Unit cell a=8.795 b=6.387 c=6.387 alpha=123.08 beta=102.09 gamma=102.09
Positions (direct):
Hg  0.500  0.000  0.000
Hg  0.000  0.673  0.327
Hg  0.000  0.327  0.673
H  0.231  0.198  0.198
H  0.769  0.802  0.802
H  0.822  0.939  0.939
H  0.178  0.061  0.061
H  0.471  0.474  0.931
H  0.471  0.931  0.474
H  0.529  0.069  0.526
H  0.529  0.526  0.069
F  0.356  0.643  0.643
F  0.644  0.357  0.357


(15)
Hg3HF | PBE | optimized geometry

Computed properties:
symmetry	Pm-3m (221)
crystal system	cubic
offset from the most stable computed form	0.356	eV/atom
density of states at the Fermi level	1.50	states/eV per cell
size of the total moment	0.00	Bohr magnetons per cell
energy	-0.04623	Ha/atom

Unit cell a=4.539 b=4.539 c=4.539 alpha=90.00 beta=90.00 gamma=90.00
Positions (direct):
H  0.000  0.000  0.000
Hg  0.000  0.500  0.000
Hg  0.000  0.000  0.500
Hg  0.500  0.000  0.000
F  0.500  0.500  0.500


(16)
Hg2HF5 | PBE | optimized geometry

Computed properties:
symmetry	Cmcm (63)
crystal system	orthorhombic
size of the total moment	0.00	Bohr magnetons per cell
energy	-0.11352	Ha/atom

Unit cell a=4.439 b=6.987 c=10.180 alpha=89.99 beta=90.00 gamma=108.52
Positions (direct):
Hg  0.856  0.711  0.456
Hg  0.856  0.711  0.044
Hg  0.144  0.289  0.544
Hg  0.144  0.289  0.956
H  0.964  0.927  0.750
H  0.036  0.073  0.250
F  0.969  0.937  0.863
F  0.969  0.937  0.637
F  0.326  0.653  0.493
F  0.326  0.653  0.007
F  0.803  0.606  0.250
F  0.197  0.394  0.750
F  0.674  0.347  0.507
F  0.674  0.347  0.993
F  0.031  0.063  0.137
F  0.031  0.063  0.363


(17)
Hg3HF4 | PBE | optimized geometry

Computed properties:
symmetry	Pmmn (59)
crystal system	orthorhombic
density of states at the Fermi level	2.53	states/eV per cell
size of the total moment	0.00	Bohr magnetons per cell
energy	-0.09574	Ha/atom

Unit cell a=4.857 b=7.744 c=7.042 alpha=90.00 beta=90.00 gamma=90.00
Positions (direct):
Hg  0.564  0.860  0.000
Hg  0.064  0.690  0.193
Hg  0.564  0.310  0.307
Hg  0.064  0.140  0.500
Hg  0.564  0.310  0.693
Hg  0.064  0.690  0.807
H  0.064  0.214  0.000
H  0.564  0.786  0.500
F  0.064  0.089  0.000
F  0.564  0.231  0.000
F  0.064  0.387  0.210
F  0.564  0.613  0.290
F  0.064  0.769  0.500
F  0.564  0.911  0.500
F  0.564  0.613  0.710
F  0.064  0.387  0.790


(18)
HgHF3 | PBE | optimized geometry

Computed properties:
symmetry	Pm-3m (221)
crystal system	cubic
offset from the most stable computed form	0.637	eV/atom
density of states at the Fermi level	0.00	states/eV per cell
size of the total moment	0.00	Bohr magnetons per cell
energy	-0.09928	Ha/atom

Unit cell a=3.639 b=3.639 c=3.639 alpha=90.00 beta=90.00 gamma=90.00
Positions (direct):
H  0.000  0.000  0.000
Hg  0.500  0.500  0.500
F  0.000  0.500  0.000
F  0.000  0.000  0.500
F  0.500  0.000  0.000


(19)
HgHF3 | PBE | optimized geometry

Computed properties:
symmetry	P2_1/c (14)
crystal system	monoclinic
offset from the most stable computed form	0.000	eV/atom
density of states at the Fermi level	0.00	states/eV per cell
size of the total moment	0.00	Bohr magnetons per cell
energy	-0.12268	Ha/atom

Unit cell a=5.610 b=6.145 c=8.115 alpha=90.00 beta=106.29 gamma=90.00
Positions (direct):
Hg  0.959  0.655  0.293
Hg  0.541  0.155  0.207
Hg  0.041  0.345  0.707
Hg  0.459  0.845  0.793
H  0.267  0.562  0.068
H  0.233  0.062  0.432
H  0.733  0.438  0.932
H  0.767  0.938  0.568
F  0.204  0.640  0.574
F  0.296  0.140  0.926
F  0.796  0.360  0.426
F  0.704  0.860  0.074
F  0.812  0.987  0.705
F  0.688  0.487  0.795
F  0.188  0.013  0.295
F  0.312  0.513  0.205
F  0.711  0.886  0.421
F  0.789  0.386  0.079
F  0.289  0.114  0.579
F  0.211  0.614  0.921


(20)
Hg2HF | PBE | optimized geometry

Computed properties:
symmetry	Fm-3m (225)
crystal system	cubic
offset from the most stable computed form	0.475	eV/atom
density of states at the Fermi level	1.96	states/eV per cell
size of the total moment	0.00	Bohr magnetons per cell
energy	-0.05279	Ha/atom

Unit cell a=4.463 b=4.463 c=4.463 alpha=60.00 beta=60.00 gamma=60.00
Positions (direct):
H  0.000  0.000  0.000
Hg  0.250  0.250  0.250
Hg  0.750  0.750  0.750
F  0.500  0.500  0.500


(21)
Hg3HF | PBE | optimized geometry

Computed properties:
symmetry	P2/c (13)
crystal system	monoclinic
offset from the most stable computed form	0.000	eV/atom
size of the total moment	0.00	Bohr magnetons per cell
energy	-0.05933	Ha/atom

Unit cell a=11.976 b=3.741 c=12.158 alpha=90.00 beta=107.05 gamma=90.00
Positions (direct):
Hg  0.594  0.254  0.450
Hg  0.594  0.746  0.950
Hg  0.355  0.245  0.763
Hg  0.121  0.666  0.942
Hg  0.355  0.755  0.263
Hg  0.406  0.746  0.550
Hg  0.879  0.666  0.558
Hg  0.645  0.245  0.737
Hg  0.879  0.334  0.058
Hg  0.645  0.755  0.237
Hg  0.406  0.254  0.050
Hg  0.121  0.334  0.442
H  0.144  0.097  0.340
H  0.856  0.097  0.160
H  0.144  0.903  0.840
H  0.856  0.903  0.660
F  0.103  0.315  0.069
F  0.103  0.685  0.569
F  0.897  0.315  0.431
F  0.897  0.685  0.931


(22)
Hg3H2F4 | PBE | optimized geometry

Computed properties:
symmetry	C2/c (15)
crystal system	monoclinic
density of states at the Fermi level	0.00	states/eV per cell
size of the total moment	0.00	Bohr magnetons per cell
energy	-0.09484	Ha/atom

Unit cell a=17.748 b=9.861 c=9.861 alpha=35.41 beta=154.36 gamma=154.36
Positions (direct):
Hg  0.129  0.194  0.227
Hg  0.371  0.773  0.806
Hg  0.871  0.806  0.773
Hg  0.629  0.227  0.194
Hg  0.250  0.418  0.582
Hg  0.750  0.582  0.418
H  0.690  0.203  0.466
H  0.810  0.534  0.797
H  0.310  0.797  0.534
H  0.190  0.466  0.203
F  0.482  0.737  0.202
F  0.018  0.798  0.263
F  0.518  0.263  0.798
F  0.982  0.202  0.737
F  0.894  0.125  0.280
F  0.606  0.720  0.875
F  0.106  0.875  0.720
F  0.394  0.280  0.125